The following is a DFT calculation (GGA-PBE) of a relaxed structure of Ir2NO2.

Cell lengths 3.984, 3.984, 4.560 Å; angles 64.09, 64.09, 90.00 degrees
Element x y z (fractional)
1 Ir 0.750 0.250 0.500
2 Ir 0.250 0.750 0.500
3 O 0.345 0.345 0.310
4 O 0.655 0.655 0.690
5 N 0.000 0.000 0.000

Its theoretical density is 12.6 g cm⁻³. The value obtained for the uncorrected formation energy is 1.3548 eV/atom. The value obtained for the size of the total moment is 0.0 μB/cell.

The following is a DFT calculation (GGA-PBE) of a relaxed structure of IrN3O.

Cell lengths 3.475, 3.475, 3.475 Å; angles 90.00, 90.00, 90.00 degrees
Element x y z (fractional)
1 Ir 0.500 0.500 0.500
2 O 0.000 0.000 0.000
3 N 0.000 0.500 0.000
4 N 0.000 0.000 0.500
5 N 0.500 0.000 0.000

Its theoretical density is 9.9 g cm⁻³. The value obtained for the uncorrected formation energy is 2.7037 eV/atom. The value obtained for the size of the total moment is 0.0 μB/cell.

The following is a DFT calculation (GGA-PBE) of a relaxed structure of Ir2NO2.

Cell lengths 6.456, 6.456, 2.693 Å; angles 90.00, 90.00, 90.00 degrees
Element x y z (fractional)
1 Ir 0.222 0.722 0.500
2 Ir 0.722 0.778 0.500
3 Ir 0.778 0.278 0.500
4 Ir 0.278 0.222 0.500
5 O 0.378 0.878 0.000
6 O 0.878 0.622 0.000
7 O 0.622 0.122 0.000
8 O 0.122 0.378 0.000
9 N 0.000 0.000 0.000
10 N 0.500 0.500 0.000

Its theoretical density is 12.7 g cm⁻³. The value obtained for the uncorrected formation energy is 1.3861 eV/atom. The value obtained for the size of the total moment is 0.0 μB/cell.

The following is a DFT calculation (GGA-PBE) of a relaxed structure of IrNO3.

Cell lengths 3.763, 3.763, 3.763 Å; angles 90.00, 90.00, 90.00 degrees
Element x y z (fractional)
1 Ir 0.000 0.000 0.000
2 O 0.000 0.500 0.000
3 O 0.000 0.000 0.500
4 O 0.500 0.000 0.000
5 N 0.500 0.500 0.500

Its theoretical density is 7.9 g cm⁻³. The value obtained for the uncorrected formation energy is 1.0758 eV/atom. The value obtained for the size of the total moment is 0.0 μB/cell.

The following is a DFT calculation (GGA-PBE) of a relaxed structure of Ir4NO2.

Cell lengths 4.195, 4.195, 5.881 Å; angles 69.11, 69.11, 90.00 degrees
Element x y z (fractional)
1 Ir 0.800 0.800 0.400
2 Ir 0.200 0.200 0.600
3 Ir 0.000 0.500 0.000
4 Ir 0.500 0.000 0.000
5 O 0.613 0.613 0.774
6 O 0.387 0.387 0.226
7 N 0.000 0.000 0.000

Its theoretical density is 15.1 g cm⁻³. The value obtained for the uncorrected formation energy is 0.9629 eV/atom. The value obtained for the size of the total moment is 0.0 μB/cell.

The following is a DFT calculation (GGA-PBE) of a relaxed structure of IrN3O.

Cell lengths 3.806, 3.806, 3.806 Å; angles 90.00, 90.00, 90.00 degrees
Each line ends with the local moment (μB).
Element x y z (fractional)
1 Ir 0.000 0.000 0.000  -0.25
2 O 0.500 0.500 0.500  1.10
3 N 0.000 0.500 0.000  0.63
4 N 0.000 0.000 0.500  0.57
5 N 0.500 0.000 0.000  0.43

Its theoretical density is 7.5 g cm⁻³. The value obtained for the uncorrected formation energy is 1.9705 eV/atom. The value obtained for the size of the total moment is 3.2 μB/cell.

The following is a DFT calculation (GGA-PBE) of a relaxed structure of IrOsNO2.

Cell lengths 3.861, 3.861, 3.925 Å; angles 90.00, 90.00, 90.00 degrees
Each line ends with the local moment (μB).
Element x y z (fractional)
1 Ir 0.500 0.500 0.500  1.56
2 Os 0.000 0.000 0.000  -0.16
3 O 0.000 0.500 0.000  0.09
4 O 0.500 0.000 0.000  0.09
5 N 0.000 0.000 0.500  0.04

Its theoretical density is 12.2 g cm⁻³. The value obtained for the uncorrected formation energy is 0.8440 eV/atom. The value obtained for the size of the total moment is 1.7 μB/cell.

The following is a DFT calculation (GGA-PBE) of a relaxed structure of IrOsN2O.

Cell lengths 3.874, 3.874, 3.916 Å; angles 90.00, 90.00, 90.00 degrees
Each line ends with the local moment (μB).
Element x y z (fractional)
1 Ir 0.000 0.000 0.000  -0.18
2 Os 0.500 0.500 0.500  2.48
3 O 0.000 0.000 0.500  0.19
4 N 0.000 0.500 0.000  -0.04
5 N 0.500 0.000 0.000  -0.04

Its theoretical density is 12.1 g cm⁻³. The value obtained for the uncorrected formation energy is 1.6790 eV/atom. The value obtained for the size of the total moment is 2.6 μB/cell.

The following is a DFT calculation (GGA-PBE) of a relaxed structure of IrOsNO2.

Cell lengths 4.009, 4.009, 3.783 Å; angles 90.00, 90.00, 90.00 degrees
Each line ends with the local moment (μB).
Element x y z (fractional)
1 Ir 0.000 0.000 0.000  -0.05
2 Os 0.500 0.500 0.500  3.18
3 O 0.000 0.500 0.000  0.18
4 O 0.500 0.000 0.000  0.18
5 N 0.000 0.000 0.500  0.01

Its theoretical density is 11.7 g cm⁻³. The value obtained for the uncorrected formation energy is 1.2209 eV/atom. The value obtained for the size of the total moment is 3.8 μB/cell.

The following is a DFT calculation (GGA-PBE) of a relaxed structure of IrOsN2O.

Cell lengths 3.924, 3.924, 3.756 Å; angles 90.00, 90.00, 90.00 degrees
Each line ends with the local moment (μB).
Element x y z (fractional)
1 Ir 0.500 0.500 0.500  0.78
2 Os 0.000 0.000 0.000  -0.05
3 O 0.000 0.000 0.500  0.09
4 N 0.000 0.500 0.000  0.02
5 N 0.500 0.000 0.000  0.02

Its theoretical density is 12.2 g cm⁻³. The value obtained for the uncorrected formation energy is 1.2736 eV/atom. The value obtained for the size of the total moment is 0.9 μB/cell.

The following is a DFT calculation (GGA-PBE) of a relaxed structure of PIrNO2.

Cell lengths 3.958, 3.958, 3.786 Å; angles 90.00, 90.00, 90.00 degrees
Element x y z (fractional)
1 P 0.500 0.500 0.500
2 Ir 0.000 0.000 0.000
3 O 0.000 0.500 0.000
4 O 0.500 0.000 0.000
5 N 0.000 0.000 0.500

Its theoretical density is 7.5 g cm⁻³. The value obtained for the uncorrected formation energy is 0.6913 eV/atom. The value obtained for the size of the total moment is 0.0 μB/cell.

The following is a DFT calculation (GGA-PBE) of a relaxed structure of PIrNO2.

Cell lengths 3.678, 3.678, 3.719 Å; angles 90.00, 90.00, 90.00 degrees
Element x y z (fractional)
1 P 0.000 0.000 0.500
2 Ir 0.500 0.500 0.500
3 O 0.000 0.500 0.000
4 O 0.500 0.000 0.000
5 N 0.000 0.000 0.000

Its theoretical density is 8.9 g cm⁻³. The value obtained for the uncorrected formation energy is 1.3015 eV/atom. The value obtained for the size of the total moment is 0.0 μB/cell.

The following is a DFT calculation (GGA-PBE) of a relaxed structure of PIrN2O.

Cell lengths 3.679, 3.679, 3.288 Å; angles 90.00, 90.00, 90.00 degrees
Element x y z (fractional)
1 P 0.000 0.000 0.000
2 Ir 0.500 0.500 0.500
3 O 0.000 0.000 0.500
4 N 0.000 0.500 0.000
5 N 0.500 0.000 0.000

Its theoretical density is 10.0 g cm⁻³. The value obtained for the uncorrected formation energy is 0.9003 eV/atom. The value obtained for the size of the total moment is 0.0 μB/cell.

The following is a DFT calculation (GGA-PBE) of a relaxed structure of PIrN2O.

Cell lengths 3.832, 3.832, 4.021 Å; angles 90.00, 90.00, 90.00 degrees
Element x y z (fractional)
1 P 0.500 0.500 0.500
2 Ir 0.000 0.000 0.000
3 O 0.000 0.000 0.500
4 N 0.000 0.500 0.000
5 N 0.500 0.000 0.000

Its theoretical density is 7.5 g cm⁻³. The value obtained for the uncorrected formation energy is 1.2077 eV/atom. The value obtained for the size of the total moment is 0.0 μB/cell.

The following is a DFT calculation (GGA-PBE) of a relaxed structure of PIrNO2.

Cell lengths 3.128, 3.128, 6.795 Å; angles 90.00, 90.00, 90.00 degrees
Each line ends with the local moment (μB).
Element x y z (fractional)
1 P 0.000 0.000 0.000  -0.01
2 Ir 0.500 0.500 0.500  0.47
3 O 0.000 0.500 0.000  0.00
4 O 0.500 0.000 0.000  0.00
5 N 0.000 0.000 0.500  0.06

Its theoretical density is 6.7 g cm⁻³. The value obtained for the uncorrected formation energy is 0.3531 eV/atom. The value obtained for the size of the total moment is 0.5 μB/cell.

The following is a DFT calculation (GGA-PBE) of a relaxed structure of PIrNO2.

Cell lengths 3.664, 3.664, 5.210 Å; angles 90.00, 90.00, 90.00 degrees
Each line ends with the local moment (μB).
Element x y z (fractional)
1 P 0.000 0.000 0.500  -0.10
2 Ir 0.000 0.000 0.000  0.01
3 O 0.000 0.500 0.000  0.01
4 O 0.500 0.000 0.000  0.01
5 N 0.500 0.500 0.500  0.79

Its theoretical density is 6.4 g cm⁻³. The value obtained for the uncorrected formation energy is 0.7190 eV/atom. The value obtained for the size of the total moment is 1.0 μB/cell.

The following is a DFT calculation (GGA-PBE) of a relaxed structure of IrPbN2O.

Cell lengths 4.305, 4.305, 4.145 Å; angles 90.00, 90.00, 90.00 degrees
Each line ends with the local moment (μB).
Element x y z (fractional)
1 Pb 0.000 0.000 0.000  -0.01
2 Ir 0.500 0.500 0.500  1.43
3 O 0.000 0.000 0.500  0.37
4 N 0.000 0.500 0.000  0.23
5 N 0.500 0.000 0.000  0.23

Its theoretical density is 9.6 g cm⁻³. The value obtained for the uncorrected formation energy is 2.2464 eV/atom. The value obtained for the size of the total moment is 2.5 μB/cell.

The following is a DFT calculation (GGA-PBE) of a relaxed structure of IrPdN2O.

Cell lengths 3.775, 3.775, 4.285 Å; angles 90.00, 90.00, 90.00 degrees
Each line ends with the local moment (μB).
Element x y z (fractional)
1 Ir 0.000 0.000 0.000  -0.04
2 O 0.000 0.000 0.500  0.17
3 Pd 0.500 0.500 0.500  0.50
4 N 0.000 0.500 0.000  0.20
5 N 0.500 0.000 0.000  0.20

Its theoretical density is 9.3 g cm⁻³. The value obtained for the uncorrected formation energy is 1.0220 eV/atom. The value obtained for the size of the total moment is 1.2 μB/cell.

The following is a DFT calculation (GGA-PBE) of a relaxed structure of IrPdN2O.

Cell lengths 3.881, 3.881, 3.953 Å; angles 90.00, 90.00, 90.00 degrees
Each line ends with the local moment (μB).
Element x y z (fractional)
1 Ir 0.500 0.500 0.500  0.26
2 O 0.000 0.000 0.500  0.07
3 Pd 0.000 0.000 0.000  0.01
4 N 0.000 0.500 0.000  0.03
5 N 0.500 0.000 0.000  0.03

Its theoretical density is 9.6 g cm⁻³. The value obtained for the uncorrected formation energy is 1.9767 eV/atom. The value obtained for the size of the total moment is 0.4 μB/cell.

The following is a DFT calculation (GGA-PBE) of a relaxed structure of IrRuNO2.

Cell lengths 3.999, 3.999, 3.768 Å; angles 90.00, 90.00, 90.00 degrees
Each line ends with the local moment (μB).
Element x y z (fractional)
1 Ru 0.500 0.500 0.500  3.02
2 Ir 0.000 0.000 0.000  -0.05
3 O 0.000 0.500 0.000  0.20
4 O 0.500 0.000 0.000  0.20
5 N 0.000 0.000 0.500  0.07

Its theoretical density is 9.4 g cm⁻³. The value obtained for the uncorrected formation energy is 0.7671 eV/atom. The value obtained for the size of the total moment is 3.7 μB/cell.